BeCr2Te: optimized geometry, PBE.

Unit cell a=3.9057 b=3.9057 c=3.7109 alpha=90.00 beta=90.00 gamma=90.00
Last column: nearest neighbours and their distance in Å.
Fractional coordinates of all 4 atoms:
Be  0.0000  0.0000  0.0000  8 Cr 2.69, 4 Te 2.76
Cr  0.0000  0.5000  0.5000  4 Te 2.69, 4 Be 2.69, 4 Cr 2.76
Cr  0.5000  0.0000  0.5000  4 Te 2.69, 4 Be 2.69, 4 Cr 2.76
Te  0.5000  0.5000  0.0000  8 Cr 2.69, 4 Be 2.76

Values from the calculation:
* energy relative to the elements, uncorrected: 0.511 eV/atom
* DOS at the Fermi energy: 3.3 states/eV per cell
* volume: 56.6 Å³ per cell
* space-group type: P4/mmm, No. 123
* raw total energy: -6.018 eV per atom
* energy relative to the lowest polymorph listed for this composition: 184 meV/atom

=====

Th4IrS3: optimized geometry, PBE.

Unit cell a=7.1664 b=7.1664 c=4.0390 alpha=90.00 beta=90.00 gamma=109.32
Last column: nearest neighbours and their distance in Å.
Fractional coordinates of all 8 atoms:
Th  0.2408  0.2408  0.5000  2 Ir 2.84, 4 S 2.92-2.95
Th  0.2501  0.7499  0.0000  5 S 2.89-2.92, 1 Ir 2.92
Th  0.7499  0.2501  0.0000  5 S 2.89-2.92, 1 Ir 2.92
Th  0.7592  0.7592  0.5000  2 Ir 2.84, 4 S 2.92-2.95
Ir  0.0000  0.0000  0.0000  6 Th 2.84-2.92
S  0.0000  0.5000  0.5000  6 Th 2.89-2.92
S  0.5000  0.0000  0.5000  6 Th 2.89-2.92
S  0.5000  0.5000  0.0000  6 Th 2.92-2.95

Values from the calculation:
* energy relative to the elements, uncorrected: -1.604 eV/atom
* DOS at the Fermi energy: 5.5 states/eV per cell
* volume: 195.8 Å³ per cell
* space-group type: Cmmm, No. 65
* raw total energy: -7.969 eV per atom

=====

BeBS2Cl: optimized geometry, PBE.

Unit cell a=4.1996 b=4.1996 c=4.2331 alpha=90.00 beta=90.00 gamma=90.00
Last column: nearest neighbours and their distance in Å.
Fractional coordinates of all 5 atoms:
Be  0.0000  0.0000  0.0000  4 Cl 2.97, 8 S 2.98
B  0.5000  0.5000  0.5000  4 S 2.10, 2 Cl 2.12
S  0.0000  0.5000  0.5000  2 B 2.10
S  0.5000  0.0000  0.5000  2 B 2.10
Cl  0.5000  0.5000  0.0000  2 B 2.12

Values from the calculation:
* energy relative to the elements, uncorrected: 0.833 eV/atom
* DOS at the Fermi energy: 3.0 states/eV per cell
* volume: 74.7 Å³ per cell
* space-group type: P4/mmm, No. 123
* raw total energy: -3.268 eV per atom
* energy relative to the lowest polymorph listed for this composition: 0 meV/atom

=====

Ho5ErTm8: optimized geometry, PBE.

Unit cell a=8.3049 b=8.3049 c=8.3049 alpha=110.81 beta=110.81 gamma=106.82
Last column: nearest neighbours and their distance in Å.
Fractional coordinates of all 14 atoms:
Ho  0.0000  0.0000  0.0000  8 Tm 3.07-3.26
Ho  0.3106  0.2107  0.6760  8 Tm 3.28-3.46, 2 Ho 3.55
Ho  0.3655  0.6894  0.9001  8 Tm 3.28-3.46, 2 Ho 3.55
Ho  0.5346  0.6345  0.3240  8 Tm 3.28-3.46, 2 Ho 3.55
Ho  0.7893  0.4654  0.0999  8 Tm 3.28-3.46, 2 Ho 3.55
Er  0.7500  0.2500  0.5000  4 Tm 3.21
Tm  0.0225  0.7687  0.6051  5 Ho 3.26-3.45, 3 Tm 3.54-3.57
Tm  0.0764  0.3385  0.9177  4 Ho 3.07-3.39, 1 Er 3.21
Tm  0.1637  0.4174  0.3949  5 Ho 3.26-3.45, 3 Tm 3.54-3.57
Tm  0.2313  0.8363  0.2538  5 Ho 3.26-3.45, 3 Tm 3.54-3.57
Tm  0.4207  0.1587  0.0823  4 Ho 3.07-3.39, 1 Er 3.21
Tm  0.5826  0.9775  0.7462  5 Ho 3.26-3.45, 3 Tm 3.54-3.57
Tm  0.6615  0.5793  0.7380  4 Ho 3.07-3.39, 1 Er 3.21
Tm  0.8413  0.9236  0.2620  4 Ho 3.07-3.39, 1 Er 3.21

Values from the calculation:
* DOS at the Fermi energy: 20.1 states/eV per cell
* volume: 440.2 Å³ per cell
* space-group type: I-4, No. 82
* raw total energy: -4.258 eV per atom
* energy of formation from the pure elements: 5.95 kcal/mol of atoms

=====

MgMn2Pd5: optimized geometry, PBE.

Unit cell a=7.8100 b=7.8100 c=7.8100 alpha=149.30 beta=149.30 gamma=43.96
Last column: nearest neighbours and their distance in Å.
Fractional coordinates of all 8 atoms:
Mg  0.0000  0.0000  0.0000  12 Pd 2.82-2.92
Mn  0.2502  0.2502  0.0000  8 Pd 2.67-2.68, 4 Mn 2.92
Mn  0.7498  0.7498  0.0000  8 Pd 2.67-2.68, 4 Mn 2.92
Pd  0.1326  0.6327  0.5000  4 Mn 2.67-2.68, 2 Mg 2.82, 6 Pd 2.82-2.92
Pd  0.3674  0.8674  0.5000  4 Mn 2.67-2.68, 6 Pd 2.82-2.92, 2 Mg 2.82
Pd  0.5000  0.5000  0.0000  8 Pd 2.82, 4 Mg 2.92
Pd  0.6327  0.1326  0.5000  4 Mn 2.67-2.68, 2 Mg 2.82, 6 Pd 2.82-2.92
Pd  0.8674  0.3674  0.5000  4 Mn 2.67-2.68, 6 Pd 2.82-2.92, 2 Mg 2.82

Values from the calculation:
* DOS at the Fermi energy: 3.1 states/eV per cell
* volume: 123.8 Å³ per cell
* space-group type: I4/mmm, No. 139
* raw total energy: -6.098 eV per atom
* energy of formation from the pure elements: -8.31 kcal/mol of atoms

=====

InTcTe2: optimized geometry, PBE.

Unit cell a=10.6170 b=10.6170 c=10.6170 alpha=18.55 beta=18.55 gamma=18.55
Last column: nearest neighbours and their distance in Å.
Fractional coordinates of all 4 atoms:
In  0.0000  0.0000  0.0000  2 Te 3.34, 6 In 3.42
Tc  0.5000  0.5000  0.5000  6 Te 2.73
Te  0.1067  0.1067  0.1067  3 Tc 2.73
Te  0.8933  0.8933  0.8933  3 Tc 2.73

Values from the calculation:
* energy relative to the elements, uncorrected: 0.069 eV/atom
* DOS at the Fermi energy: 2.3 states/eV per cell
* volume: 105.8 Å³ per cell
* space-group type: R-3m, No. 166
* raw total energy: -4.778 eV per atom

=====

Ba2LiZnHg2: optimized geometry, PBE.

Unit cell a=9.0471 b=9.0471 c=9.0471 alpha=135.05 beta=67.02 gamma=133.05
Last column: nearest neighbours and their distance in Å.
Fractional coordinates of all 12 atoms:
Ba  0.1614  0.2488  0.4102  2 Zn 3.48, 2 Li 3.49, 6 Hg 3.62-3.82
Ba  0.3386  0.7488  0.0874  2 Zn 3.48, 2 Li 3.49, 6 Hg 3.62-3.82
Ba  0.6614  0.2512  0.9126  2 Zn 3.48, 2 Li 3.49, 6 Hg 3.62-3.82
Ba  0.8386  0.7512  0.5898  2 Zn 3.48, 2 Li 3.49, 6 Hg 3.62-3.82
Li  0.2500  0.7500  0.5000  4 Hg 2.85
Li  0.7500  0.2500  0.5000  4 Hg 2.85
Zn  0.2500  0.2500  0.0000  4 Hg 2.86
Zn  0.7500  0.7500  0.0000  4 Hg 2.86
Hg  0.0915  0.7489  0.8405  2 Li 2.85, 2 Zn 2.86
Hg  0.4085  0.2489  0.6574  2 Li 2.85, 2 Zn 2.86
Hg  0.5915  0.7511  0.3426  2 Li 2.85, 2 Zn 2.86
Hg  0.9085  0.2511  0.1595  2 Li 2.85, 2 Zn 2.86

Values from the calculation:
* DOS at the Fermi energy: 10.9 states/eV per cell
* volume: 376.1 Å³ per cell
* space-group type: Ibam, No. 72
* raw total energy: -1.615 eV per atom
* energy of formation from the pure elements: -7.89 kcal/mol of atoms

=====

Sm2Cd3Ga2: optimized geometry, PBE.

Unit cell a=10.8322 b=10.8322 c=3.6589 alpha=90.00 beta=90.00 gamma=157.08
Last column: nearest neighbours and their distance in Å.
Fractional coordinates of all 7 atoms:
Sm  0.1620  0.8380  0.0000  6 Ga 3.05-3.17
Sm  0.8380  0.1620  0.0000  6 Ga 3.05-3.17
Cd  0.0000  0.0000  0.0000  8 Cd 3.20, 2 Sm 3.44
Cd  0.4288  0.5712  0.5000  5 Cd 3.02-3.20, 1 Ga 3.07
Cd  0.5712  0.4288  0.5000  5 Cd 3.02-3.20, 1 Ga 3.07
Ga  0.2842  0.7158  0.5000  2 Ga 2.60
Ga  0.7158  0.2842  0.5000  2 Ga 2.60

Values from the calculation:
* DOS at the Fermi energy: 2.1 states/eV per cell
* volume: 167.2 Å³ per cell
* space-group type: Cmmm, No. 65
* raw total energy: -2.985 eV per atom
* energy of formation from the pure elements: -8.75 kcal/mol of atoms

=====

Q: What is the DOS at the Fermi energy in the seventh record?
A: 10.9 states/eV per cell

=====

Q: What is the DOS at the Fermi energy in the sixth record?
A: 2.3 states/eV per cell

=====

Q: Which formula does entry 3 have?
A: BeBS2Cl